# Zr2ZnAu

A geometry-optimized Zr2ZnAu structure (PBE, Alexandria via LeMat-Bulk).

Cell lengths 5.0248, 5.0248, 3.2385 Å; angles 90.00, 90.00, 108.40 degrees
Fractional coordinates of all 4 atoms:
Zn: 0.0000 0.5000 0.5000
Au: 0.5000 0.0000 0.5000
Zr: 0.0000 0.0000 0.0000
Zr: 0.5000 0.5000 0.0000

The calculation puts the uncorrected energy at -23.1 eV per formula unit. For the formation energy from the elements, the calculation gives -1.43 eV per formula unit. Its total magnetization is 0.0 μB per formula unit.